Record 1
5
Lattice="4.697 0.000 0.000 0.000 4.697 0.000 0.000 0.000 7.256" Properties=species:S:1:pos:R:3 comment="SrNbRhCl2, optimized geometry, DFT GGA-PBE" formation_energy_uncorrected_ev_per_atom=0.256 dos_at_fermi_per_ev_fu=6.71 spacegroup="No. 123" final_energy_ev_per_atom=-4.30 pbc="T T T"
Sr 0.000 0.000 0.000
Nb 0.000 0.000 3.628
Rh 2.349 2.349 0.000
Cl 0.000 2.349 3.628
Cl 2.349 0.000 3.628

---

Record 2
5
Lattice="4.222 0.000 0.000 0.000 4.222 0.000 0.000 0.000 4.552" Properties=species:S:1:pos:R:3 comment="NbV2RhCl, optimized geometry, DFT GGA-PBE" formation_energy_uncorrected_ev_per_atom=0.552 dos_at_fermi_per_ev_fu=6.27 spacegroup="No. 123" final_energy_ev_per_atom=-6.95 pbc="T T T"
Nb 0.000 0.000 0.000
V 0.000 2.111 2.276
V 2.111 0.000 2.276
Rh 2.111 2.111 0.000
Cl 0.000 0.000 2.276

---

Number 1 is which compound? SrNbRhCl2